No. 1
# CdCoTc2

A geometry-optimized CdCoTc2 structure (PBE-GGA, the Alexandria database).

Calculated values
- magnetization (μB per formula unit) = 1.59
- energy relative to the elements (kJ/mol of formula units) = 124

Structure (POSCAR):
```
CdCoTc2
1.0
2.787 0.000 0.000
0.000 3.813 0.000
-0.046 0.000 5.737
Cd Co Tc
1 1 2
Cartesian
0.000 0.000 0.000
1.391 1.907 1.513
0.051 0.000 2.816
1.326 1.907 3.971
```



No. 2
# Ce4ScAs6

A geometry-optimized Ce4ScAs6 structure (PBE-GGA, the Alexandria database).

Calculated values
- magnetization (μB per formula unit) = 1.33
- energy relative to the elements (kJ/mol of formula units) = -1331

Structure (POSCAR):
```
Ce4ScAs6
1.0
5.674 3.276 4.772
-5.674 3.276 4.772
0.000 -6.551 4.772
Ce Sc As
8 2 12
Cartesian
-3.517 0.460 5.964
0.000 0.000 3.579
-2.157 -2.816 8.350
1.360 -3.276 5.964
-1.360 3.276 8.350
2.157 2.816 5.964
0.000 0.000 10.736
3.517 -0.460 8.350
0.000 0.000 0.000
0.000 0.000 7.157
-4.839 -1.266 7.966
-1.323 -4.824 6.349
-1.323 -1.727 5.580
-3.516 3.557 6.349
-0.835 2.009 5.580
-2.157 0.282 8.734
2.157 -0.282 5.580
0.835 -2.009 8.734
3.516 -3.557 7.966
1.323 1.727 8.734
1.323 4.824 7.966
4.839 1.266 6.349
```



No. 3
# La4P

A geometry-optimized La4P structure (PBE-GGA, the Alexandria database).

Calculated values
- relative energy among the computed polymorphs (meV per atom) = 429
- magnetization (μB per formula unit) = 0.00
- energy relative to the elements (kJ/mol of formula units) = -10

Structure (POSCAR):
```
La4P
1.0
-2.029 2.029 10.003
2.029 -2.029 10.003
2.029 2.029 -10.003
La P
4 1
Cartesian
0.000 0.000 1.543
2.029 0.000 5.002
0.000 2.029 5.002
0.000 0.000 18.463
0.000 0.000 10.003
```



No. 4
# UNbRu

A geometry-optimized UNbRu structure (PBE-GGA, the Alexandria database).

Calculated values
- relative energy among the computed polymorphs (meV per atom) = 111
- magnetization (μB per formula unit) = 0.00
- energy relative to the elements (kJ/mol of formula units) = 7

Structure (POSCAR):
```
UNbRu
1.0
4.576 0.000 0.000
-2.288 3.963 0.000
0.000 0.000 2.895
U Nb Ru
1 1 1
Cartesian
0.000 0.000 0.000
2.288 1.321 2.221
0.000 2.642 0.817
```



No. 5
# CePrScTl

A geometry-optimized CePrScTl structure (PBE-GGA, the Alexandria database).

Calculated values
- magnetization (μB per formula unit) = 0.29
- energy relative to the elements (kJ/mol of formula units) = 8

Structure (POSCAR):
```
CePrScTl
1.0
0.000 3.795 3.795
3.795 0.000 3.795
3.795 3.795 0.000
Ce Pr Sc Tl
1 1 1 1
Cartesian
0.000 0.000 0.000
1.898 1.898 1.898
5.693 5.693 5.693
3.795 3.795 3.795
```



No. 6
# CdAsPd

A geometry-optimized CdAsPd structure (PBE-GGA, the Alexandria database).

Calculated values
- magnetization (μB per formula unit) = 0.00
- energy relative to the elements (kJ/mol of formula units) = -32

Structure (POSCAR):
```
CdAsPd
1.0
4.399 0.000 0.000
-2.200 3.810 0.000
0.000 0.000 3.394
Cd As Pd
1 1 1
Cartesian
0.000 0.000 0.000
0.000 2.540 1.697
2.200 1.270 1.697
```



energy relative to the elements of number 1 (CdCoTc2)? 124 kJ/mol of formula units